Entry from Alexandria via LeMat-Bulk: a geometry-optimized CaErSn structure (GGA-PBE).

The mass density comes out at 6.00 g cm⁻³. Its formation energy is -0.4029 eV/atom. As for the symmetry: I4mm (107).

Unit cell a=7.5424 b=7.5424 c=7.5424 alpha=152.69 beta=152.69 gamma=39.01
Fractional coordinates of all 3 atoms:
Ca1 0.0000 0.0000 0.0000
Er1 0.2954 0.2954 0.0000
Sn1 0.6545 0.6545 0.0000

---

Entry from Alexandria via LeMat-Bulk: a geometry-optimized Ca2ErSn9 structure (GGA-PBE).

The mass density comes out at 6.84 g cm⁻³. Its formation energy is -0.3934 eV/atom. As for the symmetry: P4/mmm (123).

Unit cell a=4.7444 b=4.7444 c=14.1901 alpha=90.00 beta=90.00 gamma=90.00
Fractional coordinates of all 12 atoms:
Ca1 0.0000 0.0000 0.1689
Ca2 0.0000 0.0000 0.8311
Er1 0.0000 0.0000 0.5000
Sn1 0.0000 0.5000 0.0000
Sn2 0.0000 0.5000 0.3364
Sn3 0.0000 0.5000 0.6636
Sn4 0.5000 0.0000 0.0000
Sn5 0.5000 0.0000 0.3364
Sn6 0.5000 0.0000 0.6636
Sn7 0.5000 0.5000 0.1681
Sn8 0.5000 0.5000 0.5000
Sn9 0.5000 0.5000 0.8319

---

Entry from Alexandria via LeMat-Bulk: a geometry-optimized CaErZnSn structure (GGA-PBE).

The mass density comes out at 6.43 g cm⁻³. Its formation energy is -0.4503 eV/atom. As for the symmetry: F-43m (216).

Unit cell a=5.2300 b=5.2300 c=5.2300 alpha=60.00 beta=60.00 gamma=60.00
Fractional coordinates of all 4 atoms:
Ca1 0.0000 0.0000 0.0000
Er1 0.5000 0.5000 0.5000
Zn1 0.2500 0.2500 0.2500
Sn1 0.7500 0.7500 0.7500

---

Entry from Alexandria via LeMat-Bulk: a geometry-optimized Sr2CaEr structure (GGA-PBE).

The mass density comes out at 3.74 g cm⁻³. Its formation energy is 0.1887 eV/atom. The energy above the most stable polymorph in this dataset is 26.4 meV per atom. As for the symmetry: Fm-3m (225).

Unit cell a=6.2186 b=6.2186 c=6.2186 alpha=60.00 beta=60.00 gamma=60.00
Fractional coordinates of all 4 atoms:
Sr1 0.2500 0.2500 0.2500
Sr2 0.7500 0.7500 0.7500
Ca1 0.0000 0.0000 0.0000
Er1 0.5000 0.5000 0.5000